# 1
Below is a geometry-optimized InSe3 structure, with properties calculated at the PBE level.

Unit cell a=5.373 b=7.072 c=7.601 alpha=64.16 beta=86.41 gamma=79.61
Atoms (fractional coordinates):
In (0.907, 0.459, 0.305)
In (0.313, 0.789, 0.476)
Se (0.358, 0.201, 0.401)
Se (0.207, 0.995, 0.869)
Se (0.587, 0.383, 0.113)
Se (0.721, 0.514, 0.613)
Se (0.000, 0.861, 0.180)
Se (0.976, 0.823, 0.733)

Calculated values
The total magnetization is 0.000 μB/atom.


# 2
Below is a geometry-optimized In2Se3 structure, with properties calculated at the PBE level.

Unit cell a=4.007 b=4.007 c=10.295 alpha=90.00 beta=90.00 gamma=120.00
Atoms (fractional coordinates):
In (0.333, 0.667, 0.817)
In (0.667, 0.333, 0.183)
Se (0.000, 0.000, 0.000)
Se (0.333, 0.667, 0.314)
Se (0.667, 0.333, 0.686)

Calculated values
The total magnetization is 0.000 μB/atom. For the density of states at the Fermi level, the calculation gives 0.60 states/eV/cell.


# 3
Below is a geometry-optimized In3Se structure, with properties calculated at the PBE level.

Unit cell a=5.244 b=6.472 c=6.395 alpha=90.00 beta=90.00 gamma=90.00
Atoms (fractional coordinates):
In (0.500, 0.356, 0.000)
In (0.000, 0.644, 0.500)
In (0.000, 0.151, 0.254)
In (0.000, 0.151, 0.746)
In (0.500, 0.849, 0.754)
In (0.500, 0.849, 0.246)
Se (0.000, 0.596, 0.000)
Se (0.500, 0.404, 0.500)

Calculated values
The total magnetization is 0.000 μB/atom. For the density of states at the Fermi level, the calculation gives 2.35 states/eV/cell.


# 4
Below is a geometry-optimized In3Se structure, with properties calculated at the PBE level.

Unit cell a=4.776 b=4.776 c=4.776 alpha=90.00 beta=90.00 gamma=90.00
Atoms (fractional coordinates):
In (0.000, 0.000, 0.000)
In (0.500, 0.000, 0.500)
In (0.500, 0.500, 0.000)
Se (0.000, 0.500, 0.500)

Calculated values
The total magnetization is 0.000 μB/atom. For the density of states at the Fermi level, the calculation gives 1.11 states/eV/cell.


# 5
Below is a geometry-optimized In4Se5 structure, with properties calculated at the PBE level.

Unit cell a=7.908 b=7.908 c=7.908 alpha=93.37 beta=93.37 gamma=151.95
Atoms (fractional coordinates):
In (0.697, 0.000, 0.697)
In (0.303, 0.000, 0.303)
In (0.000, 0.303, 0.303)
In (0.000, 0.697, 0.697)
Se (0.000, 0.000, 0.000)
Se (0.673, 0.327, 0.000)
Se (0.327, 0.673, 0.000)
Se (0.327, 0.327, 0.653)
Se (0.673, 0.673, 0.347)

Calculated values
The total magnetization is 0.000 μB/atom. The calculation puts the energy above the lowest structure with this stoichiometry at 341.3 meV per atom. For the density of states at the Fermi level, the calculation gives 5.73 states/eV/cell.


# 6
Below is a geometry-optimized In2Se3 structure, with properties calculated at the PBE level.

Unit cell a=7.324 b=7.324 c=19.887 alpha=90.00 beta=90.00 gamma=120.00
Atoms (fractional coordinates):
Se (0.029, 0.686, 0.865)
Se (0.656, 0.971, 0.532)
Se (0.314, 0.344, 0.199)
Se (0.971, 0.314, 0.365)
Se (0.344, 0.029, 0.032)
Se (0.686, 0.656, 0.699)
Se (0.630, 0.963, 0.882)
Se (0.333, 0.370, 0.548)
Se (0.037, 0.667, 0.215)
Se (0.370, 0.037, 0.382)
Se (0.667, 0.630, 0.048)
Se (0.963, 0.333, 0.715)
Se (0.339, 0.270, 0.838)
Se (0.932, 0.661, 0.505)
Se (0.730, 0.068, 0.171)
Se (0.661, 0.730, 0.338)
Se (0.068, 0.339, 0.005)
Se (0.270, 0.932, 0.671)
In (0.001, 0.304, 0.861)
In (0.303, 0.999, 0.528)
In (0.696, 0.697, 0.195)
In (0.999, 0.696, 0.361)
In (0.697, 0.001, 0.028)
In (0.304, 0.303, 0.695)
In (0.664, 0.652, 0.833)
In (0.989, 0.336, 0.499)
In (0.348, 0.011, 0.166)
In (0.336, 0.348, 0.333)
In (0.011, 0.664, 0.999)
In (0.652, 0.989, 0.666)

Calculated values
The total magnetization is 0.000 μB/atom.


# 7
Below is a geometry-optimized In2Se3 structure, with properties calculated at the PBE level.

Unit cell a=9.456 b=9.456 c=9.456 alpha=24.33 beta=24.33 gamma=24.33
Atoms (fractional coordinates):
In (0.793, 0.793, 0.793)
In (0.207, 0.207, 0.207)
Se (0.000, 0.000, 0.000)
Se (0.600, 0.600, 0.600)
Se (0.400, 0.400, 0.400)

Calculated values
The total magnetization is 0.001 μB/atom. For the density of states at the Fermi level, the calculation gives 4.93 states/eV/cell.


# 8
Below is a geometry-optimized In6Se7 structure, with properties calculated at the PBE level.

Unit cell a=14.884 b=14.884 c=14.884 alpha=20.97 beta=20.97 gamma=20.97
Atoms (fractional coordinates):
Se (0.915, 0.418, 0.418)
Se (0.418, 0.418, 0.915)
Se (0.418, 0.915, 0.418)
Se (0.085, 0.582, 0.582)
Se (0.582, 0.085, 0.582)
Se (0.582, 0.582, 0.085)
Se (0.500, 0.500, 0.500)
In (0.964, 0.964, 0.964)
In (0.036, 0.036, 0.036)
In (0.852, 0.852, 0.852)
In (0.148, 0.148, 0.148)
In (0.685, 0.685, 0.685)
In (0.315, 0.315, 0.315)

Calculated values
The total magnetization is 0.000 μB/atom. The calculation puts the energy above the lowest structure with this stoichiometry at 521.8 meV per atom. For the density of states at the Fermi level, the calculation gives 4.48 states/eV/cell.


no.,E_form (uncorrected) (meV/atom)
1,-199
2,-482
3,-105
4,-112
5,48
6,-530
7,-4
8,40